(1)
Here is crystalline AcTbSi2 at its relaxed geometry from Alexandria. Energies are from PBE-GGA.

The energy above the most stable polymorph in this dataset comes out at 0.007 eV per atom. The density of states at the Fermi level comes out at 3.499 states/eV/f.u. As for the uncorrected formation energy: -0.626 eV per atom. The crystal system is orthorhombic.

```
data_AcTbSi2
_cell_length_a 3.977
_cell_length_b 6.108
_cell_length_c 6.108
_cell_angle_alpha 43.38
_cell_angle_beta 90.00
_cell_angle_gamma 90.00
_symmetry_space_group_name_H-M 'P 1'
_symmetry_Int_Tables_number 1
_symmetry_space_group_name_Hall 'P 1'
loop_
_atom_site_label
_atom_site_fract_x
_atom_site_fract_y
_atom_site_fract_z
Ac1 0.000 0.000 0.000
Tb1 0.500 0.277 0.277
Si1 0.000 0.720 0.720
Si2 0.500 0.585 0.585
```

***

(2)
Here is crystalline AcTbSi2 at its relaxed geometry from Alexandria. Energies are from PBE-GGA.

The energy above the most stable polymorph in this dataset comes out at 0.136 eV per atom. The density of states at the Fermi level comes out at 2.610 states/eV/f.u. As for the uncorrected formation energy: -0.497 eV per atom. The crystal system is tetragonal.

```
data_AcTbSi2
_cell_length_a 3.876
_cell_length_b 3.876
_cell_length_c 6.626
_cell_angle_alpha 90.00
_cell_angle_beta 90.00
_cell_angle_gamma 90.00
_symmetry_space_group_name_H-M 'P 1'
_symmetry_Int_Tables_number 1
_symmetry_space_group_name_Hall 'P 1'
loop_
_atom_site_label
_atom_site_fract_x
_atom_site_fract_y
_atom_site_fract_z
Ac1 0.000 0.000 0.000
Tb1 0.000 0.000 0.500
Si1 0.500 0.500 0.314
Si2 0.500 0.500 0.686
```

***

Question: Number 2 is which compound?
Answer: AcTbSi2